(1)
Computed, not measured: a PBEsol-optimized structure of HfNb3Co at the meta-GGA SCAN level of DFT.

Results
electronic total energy = -176.41 eV/cell
DOS at the Fermi energy = 6.4 states/eV per cell
ΔE_f = 0.59 eV per atom
calculated volume = 19.243 A^3/atom

The structure in extended XYZ format:
```
5
Lattice="4.5823 0.0000 0.0000 0.0000 4.5823 0.0000 0.0000 0.0000 4.5823" Properties=species:S:1:pos:R:3 pbc="T T T"
Nb 2.2911 0.0000 0.0000
Nb 0.0000 2.2911 0.0000
Nb 0.0000 0.0000 2.2911
Co 0.0000 0.0000 0.0000
Hf 2.2911 2.2911 2.2911
```



(2)
Computed, not measured: a PBEsol-optimized structure of Hf3NbCo at the meta-GGA SCAN level of DFT.

Results
electronic total energy = -236.52 eV/cell
DOS at the Fermi energy = 6.5 states/eV per cell
ΔE_f = 0.39 eV per atom
calculated volume = 20.412 A^3/atom

The structure in extended XYZ format:
```
5
Lattice="-2.7276 -3.6224 -1.1303 2.4335 -0.6017 -3.9440 2.9116 -2.8906 2.2375" Properties=species:S:1:pos:R:3 pbc="T T T"
Hf -1.3638 -1.8112 -0.5652
Hf 1.4558 -1.4453 1.1188
Hf 1.2168 -0.3009 -1.9720
Nb 1.3087 -3.5574 -1.4184
Co 0.0000 0.0000 0.0000
```



(3)
Computed, not measured: a PBEsol-optimized structure of Hf2CoOs at the meta-GGA SCAN level of DFT.

Results
electronic total energy = -217.45 eV/cell
DOS at the Fermi energy = 1.5 states/eV per cell
ΔE_f = -0.73 eV per atom
calculated volume = 16.038 A^3/atom

The structure in extended XYZ format:
```
4
Lattice="4.4934 0.0000 0.0000 2.2467 3.8914 0.0000 2.2467 1.2971 3.6689" Properties=species:S:1:pos:R:3 pbc="T T T"
Co 0.0000 0.0000 0.0000
Os 4.4934 2.5943 1.8344
Hf 2.2467 1.2971 0.9172
Hf 6.7402 3.8914 2.7517
```



(4)
Computed, not measured: a PBEsol-optimized structure of Hf2CoP at the meta-GGA SCAN level of DFT.

Results
electronic total energy = -307.99 eV/cell
DOS at the Fermi energy = 5.1 states/eV per cell
energy relative to the lowest polymorph listed for this composition = 0.7079 eV/atom
ΔE_f = -0.24 eV per atom
calculated volume = 16.681 A^3/atom

The structure in extended XYZ format:
```
8
Lattice="-2.3027 -4.5550 -2.3172 2.1091 -0.4886 5.1704 -4.1605 3.7324 0.4244" Properties=species:S:1:pos:R:3 pbc="T T T"
Hf 1.0051 -0.8349 3.0106
Hf -2.3290 -2.5572 2.6855
Hf -2.0735 -0.0151 1.3054
Hf -5.3108 0.7845 -0.4463
Co -1.0741 0.3609 3.5107
Co 0.0000 0.0000 0.0000
P -3.2800 -1.6723 -0.2331
P -0.0968 -2.5218 1.4266
```



(5)
Computed, not measured: a PBEsol-optimized structure of Hf2CoP at the meta-GGA SCAN level of DFT.

Results
electronic total energy = -313.65 eV/cell
DOS at the Fermi energy = 5.6 states/eV per cell
energy relative to the lowest polymorph listed for this composition = 0.0000 eV/atom
ΔE_f = -0.94 eV per atom
calculated volume = 15.631 A^3/atom

The structure in extended XYZ format:
```
8
Lattice="3.5527 0.0000 0.0000 0.0000 5.1321 -0.0100 0.0000 -2.4556 6.8632" Properties=species:S:1:pos:R:3 pbc="T T T"
Hf 2.6646 2.5793 3.8682
Hf 0.8882 0.0972 2.9849
Hf 0.8882 1.3681 6.3000
Hf 2.6646 1.3084 0.5532
P 0.8882 -1.2226 5.4153
P 2.6646 3.8991 1.4379
Co 0.8882 2.5864 1.9888
Co 2.6646 0.0901 4.8644
```



(6)
Computed, not measured: a PBEsol-optimized structure of Hf5CoP3 at the meta-GGA SCAN level of DFT.

Results
electronic total energy = -1487.97 eV/cell
DOS at the Fermi energy = 16.0 states/eV per cell
ΔE_f = -1.13 eV per atom
calculated volume = 16.741 A^3/atom

The structure in extended XYZ format:
```
36
Lattice="-2.1997 2.3899 -1.4391 -5.9296 -7.4530 -3.3137 -8.7553 0.5842 14.3526" Properties=species:S:1:pos:R:3 pbc="T T T"
Hf -10.3946 0.4396 10.0405
Hf -6.4899 -4.9185 -0.4407
Hf -11.3470 -1.6530 12.4064
Hf -15.3099 -4.6674 9.0726
Hf -12.2133 -3.9974 9.8372
Hf -8.6888 -2.1396 3.1501
Hf -9.4960 -5.4368 -1.0916
Hf -6.0560 0.0984 2.8424
Hf -8.1957 -2.3393 6.4497
Hf -1.5746 0.1885 0.5272
Hf -7.3885 0.9578 10.6914
Hf -11.0539 -1.6004 7.6605
Hf -8.6114 -5.2645 2.2273
Hf -11.4393 -4.4496 3.5180
Hf -4.6712 -0.4816 -0.2374
Hf -10.8285 -4.5773 6.7574
Hf -8.2731 0.7856 7.3725
Hf -5.8307 -2.8786 1.9392
Hf -5.5375 -2.8260 -2.8066
Hf -5.4453 -0.0293 6.0818
Co -10.5535 -2.5828 5.2643
Co -6.3310 -1.8961 4.3355
Co -7.5617 -4.6168 -2.6865
Co -9.3228 0.1378 12.2863
P -9.0961 -4.2370 4.6746
P -5.4464 -5.4441 -2.9086
P -5.0446 1.9695 4.4038
P -13.3269 -3.8190 7.4504
P -8.6969 -1.3252 8.9000
P -8.1876 -3.1537 0.6998
P -7.7884 -0.2419 4.9252
P -11.4381 0.9652 12.5083
P -4.5721 -3.1079 -0.3652
P -3.5576 -0.6599 2.1494
P -12.3124 -1.3710 9.9650
P -11.8399 -6.4485 5.1960
```